Computed, not measured: a geometry-optimized AlTe2Ir structure at the PBE-GGA level of DFT.

Cell lengths 8.2927, 3.9460, 7.2535 Å; angles 90.00, 111.00, 90.00 degrees
Closest atoms and distances in Å follow each position.
Space group Cm (No. 8)
Unique sites:
Al (0.0000, 0.0000, 0.0000) [2 per cell]  3 Ir 2.41-2.63, 2 Te 2.70
Te (0.1522, 0.0000, 0.7280) [2 per cell]  1 Al 2.70, 2 Ir 2.70
Te (0.3247, 0.0000, 0.2672) [2 per cell]  1 Al 2.70, 2 Ir 2.70
Ir (0.2084, 0.5000, 0.9973) [2 per cell]  3 Al 2.41-2.63, 2 Te 2.70

Calculated values
The raw formation energy is -255 meV per atom. The value obtained for the energy relative to the lowest polymorph listed for this composition is 0.0000 eV per atom. As for the total magnetization: 0.000 μB/cell. Its density of states at the Fermi level is 1.83 states/eV/f.u. As for the theoretical density: 7110 kg/m3. The value obtained for the raw total energy is -4.976 eV per atom.

---

Computed, not measured: a geometry-optimized Nd4Te5H2 structure at the PBE-GGA level of DFT.

Cell lengths 18.6774, 4.3988, 8.3164 Å; angles 90.00, 97.03, 90.00 degrees
Closest atoms and distances in Å follow each position.
Space group C2/m (No. 12)
Unique sites:
Nd (0.0318, 0.0000, 0.2510) [4 per cell]  2 H 2.44
Nd (0.2085, 0.5000, 0.2194) [4 per cell]  1 H 2.35
Te (0.0000, 0.5000, 0.5000) [2 per cell]  2 H 3.04, 4 Nd 3.13
Te (0.1371, 0.0000, 0.9568) [4 per cell]  5 Nd 3.27-3.41, 2 H 3.27
Te (0.1724, 0.0000, 0.4666) [4 per cell]  4 Nd 2.99-3.22
H (0.0818, 0.5000, 0.2052) [4 per cell]  3 Nd 2.35-2.44

Calculated values
As for the total magnetization: 0.000 μB/cell. As for the theoretical density: 5960 kg/m3. The value obtained for the raw total energy is -4.867 eV per atom.

---

Computed, not measured: a geometry-optimized CaSm6Y3 structure at the PBE-GGA level of DFT.

Cell lengths 12.1583, 3.5682, 16.2859 Å; angles 90.00, 104.07, 90.00 degrees
Closest atoms and distances in Å follow each position.
Space group P2_1/m (No. 11)
Unique sites:
Ca (0.1317, 0.2500, 0.0623) [2 per cell]  1 Y 3.56, 4 Ca 3.57-3.79, 7 Sm 3.63-3.83
Sm (0.1133, 0.2500, 0.4599) [2 per cell]  4 Y 3.42-3.52, 8 Sm 3.57-3.77
Sm (0.1176, 0.7500, 0.8525) [2 per cell]  2 Y 3.46, 7 Sm 3.57-3.86, 3 Ca 3.63-3.82
Sm (0.1526, 0.7500, 0.2734) [2 per cell]  6 Sm 3.57-3.86, 5 Y 3.57-3.75, 2 Ca 3.83
Sm (0.3390, 0.7500, 0.6142) [2 per cell]  6 Sm 3.57-3.75, 6 Y 3.57-3.70
Sm (0.3624, 0.2500, 0.8206) [2 per cell]  3 Y 3.41-3.62, 9 Sm 3.55-3.75
Sm (0.3807, 0.7500, 0.0189) [2 per cell]  8 Sm 3.55-3.65, 2 Y 3.65, 2 Ca 3.73
Y (0.1132, 0.2500, 0.6696) [2 per cell]  9 Sm 3.41-3.57, 2 Y 3.57
Y (0.3826, 0.2500, 0.4288) [2 per cell]  6 Sm 3.43-3.74, 5 Y 3.49-3.67
Y (0.3954, 0.2500, 0.2171) [2 per cell]  3 Y 3.49-3.57, 1 Ca 3.56, 7 Sm 3.62-3.75

Calculated values
As for the total magnetization: 0.000 μB/cell. The energy of formation comes out at 0.08 eV/atom. Its density of states at the Fermi level is 16.62 states/eV/f.u. As for the theoretical density: 5859 kg/m3. The value obtained for the raw total energy is -4.895 eV per atom.

---

Computed, not measured: a geometry-optimized ThUP2 structure at the PBE-GGA level of DFT.

Cell lengths 3.9059, 3.9059, 21.5502 Å; angles 90.00, 90.00, 120.00 degrees
Closest atoms and distances in Å follow each position.
Space group R3m (No. 160, hexagonal axes)
Unique sites:
Th (0.0000, 0.0000, 0.0000) [3 per cell]  6 P 2.88-2.97
U (0.0000, 0.0000, 0.8266) [3 per cell]  6 P 2.80-2.89
P (0.0000, 0.0000, 0.4163) [3 per cell]  3 U 2.80, 3 Th 2.88
P (0.0000, 0.0000, 0.5770) [3 per cell]  3 U 2.89, 3 Th 2.97

Calculated values
The value obtained for the energy relative to the lowest polymorph listed for this composition is 0.1822 eV per atom. As for the total magnetization: 7.499 μB/cell. The energy of formation comes out at -1.07 eV/atom. Its density of states at the Fermi level is 6.15 states/eV/f.u. As for the theoretical density: 9308 kg/m3. The value obtained for the raw total energy is -8.447 eV per atom.

---

Computed, not measured: a geometry-optimized TaCu2Pd2 structure at the PBE-GGA level of DFT.

Cell lengths 7.2101, 7.2101, 2.8574 Å; angles 90.00, 90.00, 90.00 degrees
Closest atoms and distances in Å follow each position.
Space group P4/mbm (No. 127)
Unique sites:
Ta (0.0000, 0.0000, 0.0000) [2 per cell]  4 Pd 2.80, 2 Ta 2.86, 8 Cu 3.05
Cu (0.1629, 0.3371, 0.5000) [4 per cell]  6 Pd 2.50-2.59
Pd (0.1353, 0.6353, 0.0000) [4 per cell]  6 Cu 2.50-2.59, 1 Pd 2.76, 2 Ta 2.80

Calculated values
The value obtained for the energy relative to the lowest polymorph listed for this composition is 0.2622 eV per atom. As for the total magnetization: 0.000 μB/cell. The energy of formation comes out at 0.02 eV/atom. Its density of states at the Fermi level is 5.91 states/eV/f.u. As for the theoretical density: 11646 kg/m3. The value obtained for the raw total energy is -6.070 eV per atom.

---

Computed, not measured: a geometry-optimized SrErAlZn structure at the PBE-GGA level of DFT.

Cell lengths 7.4761, 7.4761, 7.4761 Å; angles 90.00, 90.00, 90.00 degrees
Closest atoms and distances in Å follow each position.
Space group F-43m (No. 216)
Unique sites:
Sr (0.0000, 0.0000, 0.0000) [4 per cell]  4 Al 3.24, 4 Zn 3.24
Er (0.0000, 0.0000, 0.5000) [4 per cell]  4 Al 3.24, 4 Zn 3.24
Al (0.2500, 0.2500, 0.7500) [4 per cell]  4 Er 3.24, 4 Sr 3.24
Zn (0.2500, 0.2500, 0.2500) [4 per cell]  4 Er 3.24, 4 Sr 3.24

Calculated values
As for the total magnetization: 0.002 μB/cell. The energy of formation comes out at -0.17 eV/atom. Its density of states at the Fermi level is 3.08 states/eV/f.u. As for the theoretical density: 5520 kg/m3. The value obtained for the raw total energy is -2.987 eV per atom.

---

Computed, not measured: a geometry-optimized K2RhAuN structure at the PBE-GGA level of DFT.

Cell lengths 5.9526, 5.9526, 3.8088 Å; angles 90.00, 90.00, 90.00 degrees
Closest atoms and distances in Å follow each position.
Space group P4/mmm (No. 123)
Unique sites:
K (0.0000, 0.5000, 0.0000) [2 per cell]  2 N 2.98
Rh (0.0000, 0.0000, 0.5000) [1 per cell]  8 K 3.53, 2 Rh 3.81
Au (0.5000, 0.5000, 0.5000) [1 per cell]  2 N 1.90
N (0.5000, 0.5000, 0.0000) [1 per cell]  2 Au 1.90

Calculated values
The raw formation energy is 723 meV per atom. The value obtained for the energy relative to the lowest polymorph listed for this composition is 0.7084 eV per atom. As for the total magnetization: 1.297 μB/cell. Its density of states at the Fermi level is 4.89 states/eV/f.u. As for the theoretical density: 4824 kg/m3. The value obtained for the raw total energy is -3.507 eV per atom.

---

Computed, not measured: a geometry-optimized CsKNa2Pd structure at the PBE-GGA level of DFT.

Cell lengths 5.9332, 5.9332, 6.5551 Å; angles 90.00, 90.00, 90.00 degrees
Closest atoms and distances in Å follow each position.
Space group P4/mmm (No. 123)
Unique sites:
Cs (0.0000, 0.0000, 0.0000) [1 per cell]  2 Pd 3.28
K (0.5000, 0.5000, 0.0000) [1 per cell]  4 Cs 4.20, 8 Na 4.42
Na (0.0000, 0.5000, 0.5000) [2 per cell]  2 Pd 2.97
Pd (0.0000, 0.0000, 0.5000) [1 per cell]  4 Na 2.97, 2 Cs 3.28

Calculated values
The value obtained for the energy relative to the lowest polymorph listed for this composition is 0.0469 eV per atom. As for the total magnetization: 0.000 μB/cell. The energy of formation comes out at 0.10 eV/atom. Its density of states at the Fermi level is 3.04 states/eV/f.u. As for the theoretical density: 2334 kg/m3. The value obtained for the raw total energy is -1.854 eV per atom.

---

Computed, not measured: a geometry-optimized La7Sn2Ge2 structure at the PBE-GGA level of DFT.

Cell lengths 8.8274, 11.6845, 7.1326 Å; angles 90.00, 90.00, 90.00 degrees
Closest atoms and distances in Å follow each position.
Space group Cmmm (No. 65)
Unique sites:
La (0.0000, 0.0000, 0.0000) [2 per cell]  2 Ge 3.16
La (0.0000, 0.5000, 0.2453) [4 per cell]  2 Ge 3.20, 2 Sn 3.42, 1 La 3.50
La (0.2500, 0.2500, 0.2831) [8 per cell]  2 Ge 3.00, 1 La 3.09
Sn (0.1723, 0.0000, 0.5000) [4 per cell]  1 Sn 3.04, 4 La 3.38
Ge (0.0000, 0.2706, 0.0000) [4 per cell]  7 La 3.00-3.20

Calculated values
As for the total magnetization: 0.000 μB/cell. The energy of formation comes out at -0.50 eV/atom. Its density of states at the Fermi level is 11.51 states/eV/f.u. As for the theoretical density: 6117 kg/m3. The value obtained for the raw total energy is -5.202 eV per atom.

---

Computed, not measured: a geometry-optimized CsAl2Cl2 structure at the PBE-GGA level of DFT.

Cell lengths 9.3315, 9.3315, 3.5805 Å; angles 90.00, 90.00, 90.00 degrees
Closest atoms and distances in Å follow each position.
Space group P4/mbm (No. 127)
Unique sites:
Cs (0.0000, 0.0000, 0.0000) [2 per cell]  2 Cs 3.58, 8 Cl 3.76, 4 Al 3.82
Al (0.1037, 0.3963, 0.0000) [4 per cell]  1 Al 2.74, 2 Cl 2.82
Cl (0.2314, 0.7314, 0.5000) [4 per cell]  2 Al 2.82

Calculated values
The raw formation energy is -364 meV per atom. As for the total magnetization: 0.010 μB/cell. Its density of states at the Fermi level is 4.12 states/eV/f.u. As for the theoretical density: 2746 kg/m3. The value obtained for the raw total energy is -2.770 eV per atom.

---

Computed, not measured: a geometry-optimized Be2SbPt structure at the PBE-GGA level of DFT.

Cell lengths 3.2049, 3.2049, 5.9141 Å; angles 90.00, 90.00, 90.00 degrees
Closest atoms and distances in Å follow each position.
Space group P4mm (No. 99)
Unique sites:
Be (0.0000, 0.0000, 0.0000) [1 per cell]  1 Pt 2.17
Be (0.5000, 0.5000, 0.2288) [1 per cell]  4 Pt 2.41, 4 Be 2.64
Sb (0.5000, 0.5000, 0.7495) [1 per cell]  5 Be 2.71-2.83
Pt (0.0000, 0.0000, 0.3661) [1 per cell]  5 Be 2.17-2.41

Calculated values
The raw formation energy is 20 meV per atom. As for the total magnetization: 0.000 μB/cell. Its density of states at the Fermi level is 1.45 states/eV/f.u. As for the theoretical density: 9154 kg/m3. The value obtained for the raw total energy is -4.384 eV per atom.

---

Computed, not measured: a geometry-optimized Cs2NaIrO6 structure at the PBE-GGA level of DFT.

Cell lengths 8.8069, 8.8069, 8.8069 Å; angles 90.00, 90.00, 90.00 degrees
Closest atoms and distances in Å follow each position.
Space group Fm-3m (No. 225)
Unique sites:
Cs (0.2500, 0.2500, 0.2500) [8 per cell]  12 O 3.13
Na (0.0000, 0.0000, 0.0000) [4 per cell]  6 O 2.53
Ir (0.0000, 0.0000, 0.5000) [4 per cell]  6 O 1.88
O (0.0000, 0.0000, 0.2870) [24 per cell]  1 Ir 1.88

Calculated values
The raw formation energy is -1011 meV per atom. As for the total magnetization: 0.000 μB/cell. As for the theoretical density: 5611 kg/m3. The value obtained for the raw total energy is -5.175 eV per atom.